[1]
Entry from Alexandria via LeMat-Bulk: a relaxed structure of MgRe3 (GGA-PBE).

```
MgRe3
1.0
-1.547 2.225 4.432
1.547 -2.225 4.432
1.547 2.225 -4.432
Mg Re
1 3
Cartesian
0.000 0.000 0.000
1.547 0.000 2.310
0.000 0.000 4.432
0.000 2.225 2.122
```

Summary:
- Electronic total energy: -9.523 eV/atom
- Formation enthalpy at 0 K: 20.45 kJ per mole of atoms
- Total moment: 0.00 μB per formula unit
- Excess energy over the best structure of this formula in the dataset: 0.034 eV/atom

---

[2]
Entry from Alexandria via LeMat-Bulk: a relaxed structure of LaSiIr2 (GGA-PBE).

```
LaSiIr2
1.0
3.018 0.000 0.000
0.000 3.018 0.000
0.000 0.000 7.570
La Si Ir
1 1 2
Cartesian
0.000 0.000 0.000
0.000 0.000 3.785
1.509 1.509 2.370
1.509 1.509 5.200
```

Summary:
- Electronic total energy: -7.510 eV/atom
- Total moment: 0.00 μB per formula unit
- E_form (uncorrected): -2.0 eV/f.u.

---

[3]
Entry from Alexandria via LeMat-Bulk: a relaxed structure of TaWS (GGA-PBE).

```
TaWS
1.0
11.248 0.000 0.000
0.000 1.561 2.718
0.000 -1.561 2.718
Ta W S
2 2 2
Cartesian
0.000 0.000 0.000
5.624 0.000 1.761
2.232 0.000 1.755
9.016 0.000 1.755
3.895 0.000 5.385
7.354 0.000 5.385
```

Summary:
- Electronic total energy: -9.795 eV/atom
- Total moment: 0.00 μB per formula unit
- E_form (uncorrected): -0.5 eV/f.u.

---

[4]
Entry from Alexandria via LeMat-Bulk: a relaxed structure of YAsPt (GGA-PBE).

```
YAsPt
1.0
4.295 0.000 0.000
-2.147 3.719 0.000
0.000 0.000 15.433
Y As Pt
4 4 4
Cartesian
0.000 0.000 0.000
0.000 0.000 3.858
0.000 0.000 7.717
0.000 0.000 11.575
0.000 2.480 1.793
0.000 2.480 5.923
2.147 1.240 9.510
2.147 1.240 13.640
0.000 2.480 9.809
0.000 2.480 13.341
2.147 1.240 2.092
2.147 1.240 5.625
```

Summary:
- Electronic total energy: -6.957 eV/atom
- Formation enthalpy at 0 K: -119.54 kJ per mole of atoms
- Total moment: 0.00 μB per formula unit